No. 1
DFT (PBE-GGA) results for a relaxed structure of PrSmTmCd.

Summary:
Energy in eV per atom: -3.7739
Crystal system: cubic
Calculated volume in Å³/atom: 29.955
Energy relative to the elements in eV/atom: -0.0526
ΔE to the lowest computed polymorph in eV per atom: 0.0955
Theoretical density in Mg/m³: 7.9
Fermi-level density of states in states/eV per cell: 20.7
Total magnetization in Bohr magnetons per cell: 0.001

Geometry as CIF:
```
data_PrSmTmCd
_cell_length_a 7.826
_cell_length_b 7.826
_cell_length_c 7.826
_cell_angle_alpha 90.00
_cell_angle_beta 90.00
_cell_angle_gamma 90.00
_space_group_name_H-M_alt 'F -4 3 m'
_space_group_IT_number 216
_space_group_name_Hall 'F -4 2 3'
loop_
_atom_site_label
_atom_site_type_symbol
_atom_site_fract_x
_atom_site_fract_y
_atom_site_fract_z
Pr1 Pr 0.000 0.000 0.000
Sm1 Sm 0.000 0.000 0.500
Tm1 Tm 0.250 0.250 0.250
Cd1 Cd 0.250 0.250 0.750
```


No. 2
DFT (PBE-GGA) results for a relaxed structure of PrSmTmCd.

Summary:
Energy in eV per atom: -3.8695
Crystal system: tetragonal
Calculated volume in Å³/atom: 30.282
Energy relative to the elements in eV/atom: -0.1481
ΔE to the lowest computed polymorph in eV per atom: 0.0000
Theoretical density in Mg/m³: 7.8
Fermi-level density of states in states/eV per cell: 3.9
Total magnetization in Bohr magnetons per cell: 0.000

Geometry as CIF:
```
data_PrSmTmCd
_cell_length_a 3.661
_cell_length_b 3.661
_cell_length_c 9.039
_cell_angle_alpha 90.00
_cell_angle_beta 90.00
_cell_angle_gamma 90.00
_space_group_name_H-M_alt 'P 4 m m'
_space_group_IT_number 99
loop_
_space_group_symop_operation_xyz
'x,y,z'
'-y,x,z'
'-x,-y,z'
'y,-x,z'
'-x,y,z'
'y,x,z'
'x,-y,z'
'-y,-x,z'
loop_
_atom_site_label
_atom_site_type_symbol
_atom_site_fract_x
_atom_site_fract_y
_atom_site_fract_z
Pr1 Pr 0.000 0.000 0.000
Sm1 Sm 0.500 0.500 0.715
Tm1 Tm 0.500 0.500 0.275
Cd1 Cd 0.000 0.000 0.483
```